(1)
Compound: CoTcN2
Source: Alexandria
Functional: GGA-PBE
Structure: relaxed

Cell lengths 3.6630, 3.6630, 3.6630 Å; angles 60.00, 60.00, 60.00 degrees
Closest atoms and distances in Å follow each position.
Atoms (fractional coordinates):
Co  0.0000  0.0000  0.0000  8 N 2.24
Tc  0.5000  0.5000  0.5000  8 N 2.24
N  0.2500  0.2500  0.2500  4 Co 2.24, 4 Tc 2.24
N  0.7500  0.7500  0.7500  4 Tc 2.24, 4 Co 2.24

* Fermi-level density of states: 3.9 states/eV/cell
* DFT total energy: -7.734 eV per atom
* excess energy over the best structure of this formula in the dataset: 757.8 meV per atom
* volume: 34.75 Å³/f.u.
* symmetry: Fm-3m (225)



(2)
Compound: CoTcTe2N
Source: Alexandria
Functional: GGA-PBE
Structure: relaxed

Cell lengths 5.3591, 5.3591, 3.6805 Å; angles 90.00, 90.00, 90.00 degrees
Closest atoms and distances in Å follow each position.
Atoms (fractional coordinates):
Te  0.0000  0.5000  0.0000  2 Tc 2.68
Te  0.5000  0.0000  0.0000  2 Tc 2.68
Co  0.5000  0.5000  0.5000  8 Te 3.25
Tc  0.0000  0.0000  0.0000  2 N 1.84
N  0.0000  0.0000  0.5000  2 Tc 1.84

* Fermi-level density of states: 5.8 states/eV/cell
* DFT total energy: -5.740 eV per atom
* excess energy over the best structure of this formula in the dataset: 41.7 meV per atom
* volume: 105.71 Å³/f.u.
* symmetry: P4/mmm (123)



(3)
Compound: CoTcTeN2
Source: Alexandria
Functional: GGA-PBE
Structure: relaxed

Cell lengths 3.8018, 3.8018, 5.8087 Å; angles 90.00, 90.00, 90.00 degrees
Closest atoms and distances in Å follow each position.
Atoms (fractional coordinates):
Te  0.0000  0.0000  0.5000  4 Co 2.69, 2 Tc 2.90
Co  0.5000  0.5000  0.5000  4 Te 2.69
Tc  0.0000  0.0000  0.0000  4 N 1.90
N  0.0000  0.5000  0.0000  2 Tc 1.90
N  0.5000  0.0000  0.0000  2 Tc 1.90

* Fermi-level density of states: 6.5 states/eV/cell
* DFT total energy: -6.661 eV per atom
* excess energy over the best structure of this formula in the dataset: 0.0 meV per atom
* volume: 83.96 Å³/f.u.
* symmetry: P4/mmm (123)



(4)
Compound: CoTcTeN2
Source: Alexandria
Functional: GGA-PBE
Structure: relaxed

Cell lengths 3.7383, 3.7383, 5.4099 Å; angles 90.00, 90.00, 90.00 degrees
Closest atoms and distances in Å follow each position.
Atoms (fractional coordinates):
Te  0.0000  0.0000  0.5000  4 Tc 2.64, 2 Co 2.70
Co  0.0000  0.0000  0.0000  4 N 1.87
Tc  0.5000  0.5000  0.5000  4 Te 2.64
N  0.0000  0.5000  0.0000  2 Co 1.87
N  0.5000  0.0000  0.0000  2 Co 1.87

* Fermi-level density of states: 4.6 states/eV/cell
* DFT total energy: -6.027 eV per atom
* excess energy over the best structure of this formula in the dataset: 633.5 meV per atom
* volume: 75.60 Å³/f.u.
* symmetry: P4/mmm (123)



(5)
Compound: CoTcTe2N
Source: Alexandria
Functional: GGA-PBE
Structure: relaxed

Cell lengths 5.1684, 5.1684, 3.3554 Å; angles 90.00, 90.00, 90.00 degrees
Closest atoms and distances in Å follow each position.
Atoms (fractional coordinates):
Te  0.0000  0.5000  0.0000  2 Co 2.58
Te  0.5000  0.0000  0.0000  2 Co 2.58
Co  0.0000  0.0000  0.0000  2 N 1.68
Tc  0.5000  0.5000  0.5000  8 Te 3.08, 2 Tc 3.36
N  0.0000  0.0000  0.5000  2 Co 1.68

* Fermi-level density of states: 5.7 states/eV/cell
* DFT total energy: -5.782 eV per atom
* excess energy over the best structure of this formula in the dataset: 0.0 meV per atom
* volume: 89.63 Å³/f.u.
* symmetry: P4/mmm (123)



(6)
Compound: Th2CoTc2N6
Source: Alexandria
Functional: GGA-PBE
Structure: relaxed

Cell lengths 5.8384, 5.8384, 6.0194 Å; angles 60.99, 60.99, 60.00 degrees
Closest atoms and distances in Å follow each position.
Atoms (fractional coordinates):
Th  0.7882  0.7882  0.6354  3 N 2.43
Th  0.2118  0.2118  0.3646  3 N 2.43
Co  0.0000  0.0000  0.0000  6 N 1.97
Tc  0.4117  0.4117  0.7648  3 N 1.86
Tc  0.5883  0.5883  0.2352  3 N 1.86
N  0.7659  0.7659  0.2545  1 Tc 1.86, 1 Co 1.97
N  0.2138  0.7659  0.2545  1 Tc 1.86, 1 Co 1.97
N  0.7659  0.2138  0.2545  1 Tc 1.86, 1 Co 1.97
N  0.2341  0.7862  0.7455  1 Tc 1.86, 1 Co 1.97
N  0.7862  0.2341  0.7455  1 Tc 1.86, 1 Co 1.97
N  0.2341  0.2341  0.7455  1 Tc 1.86, 1 Co 1.97

* Fermi-level density of states: 7.2 states/eV/cell
* DFT total energy: -8.704 eV per atom
* volume: 147.22 Å³/f.u.
* symmetry: R-3m (166)



(7)
Compound: TiCoTcN2
Source: Alexandria
Functional: GGA-PBE
Structure: relaxed

Cell lengths 3.6048, 4.7230, 3.6048 Å; angles 90.00, 90.00, 90.00 degrees
Closest atoms and distances in Å follow each position.
Atoms (fractional coordinates):
N  0.0000  0.0000  0.5000  2 Co 1.80
N  0.5000  0.0000  0.0000  2 Co 1.80
Co  0.0000  0.0000  0.0000  4 N 1.80
Tc  0.5000  0.5000  0.5000  4 Ti 2.55
Ti  0.0000  0.5000  0.0000  2 Co 2.36, 4 Tc 2.55

* Fermi-level density of states: 4.2 states/eV/cell
* DFT total energy: -7.171 eV per atom
* volume: 61.37 Å³/f.u.
* symmetry: P4/mmm (123)



(8)
Compound: V2CoTcN
Source: Alexandria
Functional: GGA-PBE
Structure: relaxed

Cell lengths 3.9521, 3.9521, 3.6702 Å; angles 90.00, 90.00, 90.00 degrees
Closest atoms and distances in Å follow each position.
Atoms (fractional coordinates):
N  0.0000  0.0000  0.0000  2 Co 1.84, 4 V 1.98
Co  0.0000  0.0000  0.5000  2 N 1.84
Tc  0.5000  0.5000  0.5000  8 V 2.70, 4 Co 2.79
V  0.0000  0.5000  0.0000  2 N 1.98
V  0.5000  0.0000  0.0000  2 N 1.98

* Fermi-level density of states: 5.2 states/eV/cell
* DFT total energy: -9.182 eV per atom
* volume: 57.33 Å³/f.u.
* symmetry: P4/mmm (123)



no.,raw formation energy (kJ/mol of atoms)
1,76.83
2,65.25
3,76.42
4,137.55
5,61.23
6,-27.33
7,118.94
8,-36.20